# 1
Computed, not measured: a relaxed Ce2NiPt crystal at the PBE-GGA level of DFT.

Cell lengths 5.801, 4.297, 7.516 Å; angles 90.00, 109.02, 90.00 degrees
Space group P2_1/m (No. 11)
Symmetry-distinct sites (fractional):
Ce1 0.223 0.250 0.437
Ce2 0.228 0.250 0.927
Ni1 0.324 0.750 0.704
Pt1 0.323 0.750 0.208

## Properties
Total moment ... 2.022 Bohr magnetons per cell

=====

# 2
Computed, not measured: a relaxed Ce3NiPt2 crystal at the PBE-GGA level of DFT.

Cell lengths 11.793, 4.075, 11.484 Å; angles 90.00, 90.00, 90.00 degrees
Space group Pnma (No. 62)
Symmetry-distinct sites (fractional):
Ce1 0.054 0.250 0.131
Ce2 0.121 0.750 0.563
Ce3 0.223 0.250 0.814
Ni1 0.125 0.250 0.384
Pt1 0.000 0.250 0.695
Pt2 0.174 0.750 0.997

## Properties
Total moment ... 7.842 Bohr magnetons per cell

=====

# 3
Computed, not measured: a relaxed CeNi4Pt crystal at the PBE-GGA level of DFT.

Cell lengths 6.967, 6.967, 6.967 Å; angles 90.00, 90.00, 90.00 degrees
Space group F-43m (No. 216)
Symmetry-distinct sites (fractional):
Ce1 0.000 0.000 0.000
Ni1 0.124 0.124 0.624
Pt1 0.250 0.250 0.250

## Properties
Total moment ... 4.515 Bohr magnetons per cell

=====

Number 1: energy of formation from the pure elements -0.70 eV/atom, final energy -53.0 eV per cell. Number 2: energy of formation from the pure elements -0.80 eV/atom, final energy -161.9 eV per cell. Number 3: energy of formation from the pure elements -0.41 eV/atom, final energy -150.3 eV per cell.